[1]
GGA-PBE RbPbCl3, optimized geometry; magnetization = 0.000 μB/atom; symmetry = P2_1/m (11); electronic total energy = -34.9 eV for the cell shown; formation energy without anion corrections = -7.25 eV per formula unit
1.0
-3.388 -4.909 2.214
6.265 -4.273 0.112
4.209 6.332 6.142
Cl Pb Rb
6 2 2
Cartesian
1.196 -4.970 2.975
2.823 4.211 5.438
4.262 -7.061 3.030
2.652 0.637 4.372
5.890 2.119 5.493
4.434 -3.488 4.097
3.461 1.885 6.670
3.624 -4.735 1.798
0.844 -2.004 4.715
6.241 -0.846 3.753

=====

[2]
GGA-PBE RbPbCl3, optimized geometry; magnetization = 0.000 μB/atom; symmetry = Cmcm (63); electronic total energy = -31.9 eV for the cell shown; formation energy without anion corrections = -5.76 eV per formula unit
1.0
7.231 0.874 5.726
-7.697 4.644 -2.240
-3.783 -3.693 5.341
Cl Pb Rb
6 2 2
Cartesian
-0.406 0.709 8.132
-1.891 -1.846 2.670
-0.166 -2.136 6.335
-3.842 1.117 0.694
-4.083 3.961 2.491
0.000 0.000 0.000
-1.908 -0.304 6.368
-2.341 2.129 2.458
2.177 -1.336 8.548
-6.426 3.161 0.278

=====

[3]
GGA-PBE RbPbCl6, optimized geometry; magnetization = 0.125 μB/atom; symmetry = R-3m (166); electronic total energy = -22.0 eV for the cell shown; formation energy without anion corrections = -6.29 eV per formula unit
1.0
6.432 -0.133 -0.151
-0.835 6.379 -0.151
-0.835 -0.931 6.312
Rb Cl Pb
1 6 1
Cartesian
0.000 0.000 0.000
3.346 1.080 1.221
0.708 3.444 1.221
1.416 4.234 4.790
4.054 1.870 4.790
0.708 0.790 3.568
4.054 4.524 2.443
2.381 2.657 3.006